1.
Entry from Alexandria via LeMat-Bulk: a PBEsol-optimized structure of BiSbTe2Pd (SCAN).

Structure (extended XYZ):
```
5
Lattice="5.296 0.000 0.000 0.000 5.296 0.000 0.000 0.000 5.033" Properties=species:S:1:pos:R:3 pbc="T T T"
Bi 0.000 0.000 0.000
Sb 2.648 2.648 0.000
Te 0.000 2.648 2.516
Te 2.648 0.000 2.516
Pd 2.648 2.648 2.516
```

Calculated values
Formation energy from raw total energies in eV/f.u.: 1.24
Total magnetic moment in μB per formula unit: 0.0
Fermi-level density of states in states/eV per cell: 3.91
Mass density in Mg/m³: 8.145
Final energy in eV/atom: -44.376
Space group: No. 123



2.
Entry from Alexandria via LeMat-Bulk: a PBEsol-optimized structure of BiSbPd2W (SCAN).

Structure (extended XYZ):
```
5
Lattice="4.858 0.000 0.000 0.000 4.858 0.000 0.000 0.000 5.103" Properties=species:S:1:pos:R:3 pbc="T T T"
Bi 0.000 0.000 0.000
Sb 2.429 2.429 0.000
Pd 0.000 2.429 2.551
Pd 2.429 0.000 2.551
W 2.429 2.429 2.551
```

Calculated values
Formation energy from raw total energies in eV/f.u.: 4.69
Total magnetic moment in μB per formula unit: 0.0
Fermi-level density of states in states/eV per cell: 4.04
Mass density in Mg/m³: 10.030
Final energy in eV/atom: -49.277
Space group: No. 123



3.
Entry from Alexandria via LeMat-Bulk: a PBEsol-optimized structure of ScBi3Pd (SCAN).

Structure (extended XYZ):
```
5
Lattice="5.287 0.000 0.000 0.000 5.287 0.000 0.000 0.000 5.287" Properties=species:S:1:pos:R:3 pbc="T T T"
Sc 0.000 0.000 0.000
Bi 0.000 2.643 2.643
Bi 2.643 0.000 2.643
Bi 2.643 2.643 0.000
Pd 2.643 2.643 2.643
```

Calculated values
Total magnetic moment in μB per formula unit: 0.0
Fermi-level density of states in states/eV per cell: 3.42
Mass density in Mg/m³: 8.745
Final energy in eV/atom: -56.335
Energy of formation in meV per atom: 215.3
Space group: No. 221



4.
Entry from Alexandria via LeMat-Bulk: a PBEsol-optimized structure of Sc2BiPd2 (SCAN).

Structure (extended XYZ):
```
10
Lattice="7.571 0.000 0.000 0.000 7.571 0.000 0.000 0.000 3.365" Properties=species:S:1:pos:R:3 pbc="T T T"
Sc 1.249 2.536 0.000
Sc 2.536 6.322 0.000
Sc 5.034 1.249 0.000
Sc 6.322 5.034 0.000
Bi 0.000 0.000 1.683
Bi 3.785 3.785 1.683
Pd 0.965 4.750 1.683
Pd 2.820 0.965 1.683
Pd 4.750 6.606 1.683
Pd 6.606 2.820 1.683
```

Calculated values
Total magnetic moment in μB per formula unit: 0.0
Fermi-level density of states in states/eV per cell: 5.11
Mass density in Mg/m³: 8.811
Final energy in eV/atom: -35.426
Energy of formation in meV per atom: -905.5
Space group: No. 127



5.
Entry from Alexandria via LeMat-Bulk: a PBEsol-optimized structure of Bi2Pd2Se (SCAN).

Structure (extended XYZ):
```
5
Lattice="-1.910 1.910 7.663 1.910 -1.910 7.663 1.910 1.910 -7.663" Properties=species:S:1:pos:R:3 pbc="T T T"
Bi 0.000 0.000 1.791
Bi 0.000 0.000 13.534
Pd 1.910 0.000 3.831
Pd 0.000 1.910 3.831
Se 0.000 0.000 7.663
```

Calculated values
Formation energy from raw total energies in eV/f.u.: -0.36
Total magnetic moment in μB per formula unit: 0.0
Fermi-level density of states in states/eV per cell: 2.82
Mass density in Mg/m³: 10.541
Final energy in eV/atom: -48.629
Space group: No. 139



6.
Entry from Alexandria via LeMat-Bulk: a PBEsol-optimized structure of SiBiPd2 (SCAN).

Structure (extended XYZ):
```
8
Lattice="-3.606 3.606 2.927 3.606 -3.606 2.927 3.606 3.606 -2.927" Properties=species:S:1:pos:R:3 pbc="T T T"
Si 0.000 0.000 0.000
Si 0.000 3.606 1.463
Bi 3.606 0.000 1.463
Bi 0.000 0.000 2.927
Pd 5.408 1.277 -0.732
Pd 1.277 1.803 0.732
Pd -1.803 2.328 2.195
Pd 2.328 1.803 3.658
```

Calculated values
Formation energy from raw total energies in eV/f.u.: -0.55
Total magnetic moment in μB per formula unit: 0.0
Fermi-level density of states in states/eV per cell: 2.74
Mass density in Mg/m³: 9.818
Final energy in eV/atom: -38.674
Space group: No. 122



7.
Entry from Alexandria via LeMat-Bulk: a PBEsol-optimized structure of SrSi2BiPd (SCAN).

Structure (extended XYZ):
```
5
Lattice="4.694 0.000 0.000 0.000 4.694 0.000 0.000 0.000 5.773" Properties=species:S:1:pos:R:3 pbc="T T T"
Sr 0.000 0.000 0.000
Si 0.000 2.347 2.887
Si 2.347 0.000 2.887
Bi 2.347 2.347 0.000
Pd 2.347 2.347 2.887
```

Calculated values
Formation energy from raw total energies in eV/f.u.: 0.22
Total magnetic moment in μB per formula unit: 0.0
Fermi-level density of states in states/eV per cell: 2.57
Mass density in Mg/m³: 5.993
Final energy in eV/atom: -30.687
Space group: No. 123



8.
Entry from Alexandria via LeMat-Bulk: a PBEsol-optimized structure of SmBiPd (SCAN).

Structure (extended XYZ):
```
3
Lattice="0.000 3.348 3.348 3.348 0.000 3.348 3.348 3.348 0.000" Properties=species:S:1:pos:R:3 pbc="T T T"
Sm 0.000 0.000 0.000
Bi 3.348 3.348 3.348
Pd 5.022 5.022 5.022
```

Calculated values
Total magnetic moment in μB per formula unit: 0.0
Mass density in Mg/m³: 10.305
Final energy in eV/atom: -53.060
Energy of formation in meV per atom: -1127.6
Space group: No. 216